! SCAN ZrScPt2, single point on PBEsol structure; values from VASP
&SYSTEM
  ibrav = 0, nat = 4, ntyp = 3
/
ATOMIC_SPECIES
Pt 195.08 Pt.upf
Sc 44.96 Sc.upf
Zr 91.22 Zr.upf
ATOMIC_POSITIONS angstrom
Pt -3.132 -0.778 4.036
Pt -0.994 -0.247 1.282
Sc -1.617 1.248 -1.014
Zr -3.680 0.735 1.645
CELL_PARAMETERS angstrom
-0.640 2.994 0.080
-2.594 -0.498 -2.108
-4.126 -1.025 5.318
! formation energy from the elements: -1.29 eV/atom
! space-group type: Pmmm (47)
! crystal system: orthorhombic


! SCAN Mg2Os, single point on PBEsol structure; values from VASP
&SYSTEM
  ibrav = 0, nat = 6, ntyp = 2
/
ATOMIC_SPECIES
Mg 24.30 Mg.upf
Os 190.23 Os.upf
ATOMIC_POSITIONS angstrom
Mg 1.109 2.306 2.492
Mg 1.109 4.611 4.094
Mg 3.327 2.306 0.819
Mg 3.327 4.611 2.422
Os 1.109 4.611 0.554
Os 3.327 2.306 4.359
CELL_PARAMETERS angstrom
4.436 0.000 0.000
0.000 4.611 0.000
0.000 2.306 4.913
! formation energy from the elements: -0.02 eV/atom
! space-group type: Cmcm (63)
! crystal system: orthorhombic


! SCAN ZrAlNi, single point on PBEsol structure; values from VASP
&SYSTEM
  ibrav = 0, nat = 9, ntyp = 3
/
ATOMIC_SPECIES
Zr 91.22 Zr.upf
Al 26.98 Al.upf
Ni 58.69 Ni.upf
ATOMIC_POSITIONS angstrom
Zr -2.937 1.469 -0.221
Zr -1.193 3.783 1.848
Zr -3.211 -0.954 -2.815
Al -4.799 0.357 1.715
Al -0.368 1.057 1.266
Al -1.219 -0.939 -0.699
Ni -3.763 -1.101 -0.176
Ni -2.623 1.576 2.458
Ni -0.318 1.274 -1.156
CELL_PARAMETERS angstrom
-0.637 2.548 -2.313
-4.904 -3.777 -2.811
-1.482 4.252 5.093
! formation energy from the elements: -0.74 eV/atom
! space-group type: P-62m (189)
! crystal system: hexagonal


! SCAN K4SrY, single point on PBEsol structure; values from VASP
&SYSTEM
  ibrav = 0, nat = 6, ntyp = 3
/
ATOMIC_SPECIES
K 39.10 K.upf
Sr 87.62 Sr.upf
Y 88.91 Y.upf
ATOMIC_POSITIONS angstrom
K 7.641 6.630 2.335
K 9.562 3.303 2.335
K 7.641 4.412 5.472
K 5.720 3.303 2.335
Sr 11.462 6.618 4.679
Y 0.000 0.000 0.000
CELL_PARAMETERS angstrom
7.641 0.000 0.000
3.821 6.618 0.000
3.821 2.206 6.239
! formation energy from the elements: 0.45 eV/atom
! space-group type: F-43m (216)
! crystal system: cubic


! SCAN BiTe3C, single point on PBEsol structure; values from VASP
&SYSTEM
  ibrav = 0, nat = 5, ntyp = 3
/
ATOMIC_SPECIES
Te 127.60 Te.upf
C 12.01 C.upf
Bi 208.98 Bi.upf
ATOMIC_POSITIONS angstrom
Te 0.000 2.423 0.000
Te 0.000 0.000 2.423
Te 2.423 0.000 0.000
C 0.000 0.000 0.000
Bi 2.423 2.423 2.423
CELL_PARAMETERS angstrom
4.846 0.000 0.000
0.000 4.846 0.000
0.000 0.000 4.846
! space-group type: Pm-3m (221)
! crystal system: cubic
! ΔE_f (raw): 912 meV per atom


! SCAN YCuAu2, single point on PBEsol structure; values from VASP
&SYSTEM
  ibrav = 0, nat = 4, ntyp = 3
/
ATOMIC_SPECIES
Cu 63.55 Cu.upf
Au 196.97 Au.upf
Y 88.91 Y.upf
ATOMIC_POSITIONS angstrom
Cu 1.112 -0.655 2.205
Au -1.100 0.647 1.485
Au 1.134 1.905 2.946
Y 1.125 1.911 0.000
CELL_PARAMETERS angstrom
4.440 -0.040 -0.021
-2.191 3.862 0.021
-2.215 -1.269 4.432
! formation energy from the elements: -0.69 eV/atom
! space-group type: R-3m (166)
! distance to the lowest polymorph of the same formula: 0.000 eV/atom
! crystal system: trigonal


! SCAN Na2FeAsCO7, single point on PBEsol structure; values from VASP
&SYSTEM
  ibrav = 0, nat = 24, ntyp = 5
/
ATOMIC_SPECIES
O 16.00 O.upf
Na 22.99 Na.upf
Fe 55.84 Fe.upf
As 74.92 As.upf
C 12.01 C.upf
ATOMIC_POSITIONS angstrom
O 1.923 5.045 4.950
O 3.121 1.682 4.109
O 0.954 3.058 2.967
O 3.602 1.682 0.544
O 0.216 5.045 1.200
O 4.827 1.682 7.859
O 1.441 5.045 8.515
O 2.680 1.682 7.426
O 0.667 1.682 5.407
O 4.376 5.045 3.652
O 2.363 5.045 1.633
O 0.954 0.305 2.967
O 4.089 6.422 6.092
O 4.089 3.668 6.092
Na 1.040 3.343 7.093
Na 4.003 6.706 1.966
Na 1.040 0.021 7.093
Na 4.003 3.384 1.966
Fe 4.011 1.682 5.856
Fe 1.033 5.045 3.203
As 1.404 1.682 3.859
As 3.640 5.045 5.200
C 1.422 5.045 0.708
C 3.621 1.682 8.351
CELL_PARAMETERS angstrom
5.288 0.000 0.023
0.000 6.726 0.000
-0.245 0.000 9.035
! space-group type: P2_1/m (11)
! crystal system: monoclinic
! ΔE_f (raw): -1709 meV per atom


! SCAN Ta2MnF, single point on PBEsol structure; values from VASP
&SYSTEM
  ibrav = 0, nat = 4, ntyp = 3
/
ATOMIC_SPECIES
Ta 180.95 Ta.upf
F 19.00 F.upf
Mn 54.94 Mn.upf
ATOMIC_POSITIONS angstrom
Ta -5.603 -1.221 5.334
Ta -1.868 -0.407 1.778
F 0.000 0.000 0.000
Mn -3.735 -0.814 3.556
CELL_PARAMETERS angstrom
-3.092 1.842 2.284
-3.584 -2.144 0.855
-0.794 -1.326 3.973
! space-group type: Fm-3m (225)
! crystal system: cubic
! ΔE_f (raw): -14 meV per atom


Number 1: energy -47.62 eV per atom. Number 2: energy -27.30 eV per atom. Number 3: energy -18.94 eV per atom. Number 4: energy -13.46 eV per atom. Number 5: energy -39.17 eV per atom. Number 6: energy -46.03 eV per atom. Number 7: energy -10.08 eV per atom. Number 8: energy -38.75 eV per atom.